The following is a DFT calculation (PBE) of crystalline KCrSb2 at its relaxed geometry.

Unit cell a=8.240 b=8.240 c=8.240 alpha=151.09 beta=153.24 gamma=39.80
Fractional coordinates of all 4 atoms:
K 0.301 0.801 0.500
Cr 0.542 0.542 0.000
Sb 0.658 0.158 0.500
Sb 0.000 0.000 0.000

## Properties
E_form (uncorrected)	0.0569	eV per atom
density of states at the Fermi level	2.060	states/eV/f.u.
crystal system	orthorhombic
VASP energy	-18.74	eV for the cell shown

The following is a DFT calculation (PBE) of crystalline AcSn4Ru at its relaxed geometry.

Unit cell a=4.625 b=7.383 c=9.290 alpha=90.00 beta=104.41 gamma=90.00
Fractional coordinates of all 12 atoms:
Sn 0.692 0.543 0.384
Ac 0.116 0.250 0.233
Sn 0.500 0.000 0.000
Ac 0.884 0.750 0.767
Ru 0.214 0.750 0.429
Sn 0.308 0.043 0.616
Ru 0.786 0.250 0.571
Sn 0.692 0.957 0.384
Sn 0.930 0.250 0.861
Sn 0.500 0.500 0.000
Sn 0.308 0.457 0.616
Sn 0.070 0.750 0.139

## Properties
density of states at the Fermi level	2.530	states/eV/f.u.
formation energy from the elements	-0.406	eV per atom
crystal system	orthorhombic
VASP energy	-63.67	eV for the cell shown

The following is a DFT calculation (PBE) of crystalline Ir2PbCl at its relaxed geometry.

Unit cell a=3.325 b=3.325 c=6.879 alpha=90.00 beta=90.00 gamma=90.00
Fractional coordinates of all 4 atoms:
Ir 0.000 0.000 0.034
Ir 0.000 0.000 0.466
Cl 0.500 0.500 0.750
Pb 0.500 0.500 0.250

## Properties
E_form (uncorrected)	0.9209	eV per atom
density of states at the Fermi level	3.938	states/eV/f.u.
crystal system	tetragonal
VASP energy	-19.59	eV for the cell shown

The following is a DFT calculation (PBE) of crystalline CdAu3Se at its relaxed geometry.

Unit cell a=5.140 b=5.140 c=5.140 alpha=90.00 beta=90.00 gamma=90.00
Fractional coordinates of all 5 atoms:
Se 0.500 0.500 0.500
Cd 0.000 0.000 0.000
Au 0.500 0.000 0.000
Au 0.000 0.000 0.500
Au 0.000 0.500 0.000

## Properties
E_form (uncorrected)	0.8648	eV per atom
density of states at the Fermi level	5.812	states/eV/f.u.
crystal system	cubic
VASP energy	-9.91	eV for the cell shown

The following is a DFT calculation (PBE) of crystalline EuThSnPb at its relaxed geometry.

Unit cell a=5.559 b=5.559 c=5.559 alpha=60.00 beta=60.00 gamma=60.00
Fractional coordinates of all 4 atoms:
Pb 0.750 0.750 0.750
Th 0.500 0.500 0.500
Sn 0.250 0.250 0.250
Eu 0.000 0.000 0.000

## Properties
density of states at the Fermi level	4.494	states/eV/f.u.
formation energy from the elements	-0.370	eV per atom
crystal system	cubic
VASP energy	-26.89	eV for the cell shown

The following is a DFT calculation (PBE) of crystalline CsScHg2Se at its relaxed geometry.

Unit cell a=5.861 b=5.861 c=5.207 alpha=90.00 beta=90.00 gamma=90.00
Fractional coordinates of all 5 atoms:
Hg 0.500 0.000 0.000
Hg 0.000 0.500 0.000
Sc 0.000 0.000 0.000
Se 0.000 0.000 0.500
Cs 0.500 0.500 0.500

## Properties
E_form (uncorrected)	-0.5880	eV per atom
density of states at the Fermi level	3.569	states/eV/f.u.
crystal system	tetragonal
VASP energy	-14.21	eV for the cell shown